# 1
A plane-wave DFT calculation with GGA-PBE was carried out for AgBiPd after structural relaxation.

Uncorrected energy ... -23.7 eV for the cell shown
Crystal system ... monoclinic

Unit cell a=3.3411 b=3.3375 c=13.9927 alpha=90.39 beta=90.38 gamma=60.07
Fractional positions:
Ag (0.4539, 0.7800, 0.1396)
Ag (0.1215, 0.4497, 0.2923)
Bi (0.7813, 0.1088, 0.8473)
Bi (0.7948, 0.1214, 0.5846)
Pd (0.1177, 0.4443, 0.9929)
Pd (0.4580, 0.7857, 0.4390)

=====

# 2
A plane-wave DFT calculation with GGA-PBE was carried out for Li2LaGaO4 after structural relaxation.

Uncorrected energy ... -51.0 eV for the cell shown
Crystal system ... tetragonal
ΔE_f (raw) ... -2.42 eV/atom

Unit cell a=5.2969 b=5.0548 c=5.0548 alpha=84.37 beta=58.40 gamma=58.40
Fractional positions:
Li (0.5000, 0.7500, 0.2500)
Li (0.5000, 0.2500, 0.7500)
La (0.0000, 0.0000, 0.0000)
Ga (0.0000, 0.5000, 0.5000)
O (0.5825, 0.5555, 0.8620)
O (0.4175, 0.1380, 0.4445)
O (0.0000, 0.4445, 0.1380)
O (0.0000, 0.8620, 0.5555)

=====

# 3
A plane-wave DFT calculation with GGA-PBE was carried out for VCr2Os after structural relaxation.

Uncorrected energy ... -73.9 eV for the cell shown
Crystal system ... tetragonal

Unit cell a=6.6811 b=6.6811 c=5.3388 alpha=51.27 beta=51.27 gamma=90.00
Fractional positions:
Cr (0.6299, 0.1250, 0.2500)
Cr (0.1201, 0.6250, 0.2500)
Cr (0.3750, 0.3701, 0.7500)
Cr (0.8750, 0.8799, 0.7500)
Os (0.0000, 0.0000, 0.0000)
Os (0.7500, 0.2500, 0.5000)
V (0.5000, 0.5000, 0.0000)
V (0.2500, 0.7500, 0.5000)